[1]
First-principles (PBE-GGA) data for a relaxed CdPOsS2 crystal, as listed in the Alexandria database.

Output
raw total energy = -4.65 eV per atom
density = 6.35 Mg/m³
formation energy (no corrections) = 0.51 eV per atom
N(E_F) = 1.144 states/eV per atom
magnetization = 0.0 μB per formula unit

abc: 4.8309 4.8309 4.4584
angles: 90.00 90.00 90.00
Last column: nearest neighbours and their distance in Å.
Element x y z (fractional)
P  0.0000  0.0000  0.5000  2 Os 2.23
S  0.0000  0.5000  0.0000  2 Os 2.42
S  0.5000  0.0000  0.0000  2 Os 2.42
Os  0.0000  0.0000  0.0000  2 P 2.23, 4 S 2.42
Cd  0.5000  0.5000  0.5000  8 S 3.29, 4 P 3.42



[2]
First-principles (PBE-GGA) data for a relaxed DyYHo crystal, as listed in the Alexandria database.

Output
raw total energy = -5.19 eV per atom
density = 7.31 Mg/m³
N(E_F) = 1.372 states/eV per atom
magnetization = 0.0 μB per formula unit

abc: 3.5416 3.5416 7.9464
angles: 102.88 102.88 90.00
Last column: nearest neighbours and their distance in Å.
Element x y z (fractional)
Y  0.0002  0.0002  0.0003  4 Y 3.54, 4 Ho 3.56, 4 Dy 3.56
Ho  0.6675  0.6675  0.3350  4 Dy 3.53, 4 Ho 3.54, 4 Y 3.56
Dy  0.3323  0.3323  0.6646  4 Ho 3.53, 4 Dy 3.54, 4 Y 3.56



[3]
First-principles (PBE-GGA) data for a relaxed Y8PSe4S3 crystal, as listed in the Alexandria database.

Output
raw total energy = -7.09 eV per atom
density = 5.21 Mg/m³
formation energy (no corrections) = -1.88 eV per atom
N(E_F) = 0.345 states/eV per atom
magnetization = 0.0 μB per formula unit

abc: 7.9922 8.0965 7.9922
angles: 119.58 120.00 90.00
Last column: nearest neighbours and their distance in Å.
Element x y z (fractional)
Y  0.2394  0.7238  0.9844  1 P 2.72, 2 S 2.76, 3 Se 2.94-2.97
Y  0.2394  0.7238  0.4789  1 P 2.72, 2 S 2.76, 3 Se 2.94-2.97
Y  0.2588  0.2764  0.5176  3 S 2.74-2.75, 3 Se 2.95
Y  0.7449  0.7238  0.9844  1 P 2.72, 2 S 2.76, 3 Se 2.94-2.97
Y  0.2551  0.2762  0.0156  1 P 2.72, 2 S 2.76, 3 Se 2.94-2.97
Y  0.7412  0.7236  0.4824  3 S 2.74-2.75, 3 Se 2.95
Y  0.7606  0.2762  0.5211  1 P 2.72, 2 S 2.76, 3 Se 2.94-2.97
Y  0.7606  0.2762  0.0156  1 P 2.72, 2 S 2.76, 3 Se 2.94-2.97
P  0.0000  0.5000  0.0000  6 Y 2.72
Se  0.5000  0.0000  0.0000  6 Y 2.97
Se  0.5000  0.0000  0.5000  6 Y 2.94-2.95
Se  0.0000  0.0000  0.0000  6 Y 2.94-2.95
Se  0.0000  0.0000  0.5000  6 Y 2.94-2.95
S  0.5000  0.5000  0.0000  6 Y 2.74-2.76
S  0.5000  0.5000  0.5000  6 Y 2.75-2.76
S  0.0000  0.5000  0.5000  6 Y 2.75-2.76



[4]
First-principles (PBE-GGA) data for a relaxed CePmPr2N4 crystal, as listed in the Alexandria database.

Output
raw total energy = -8.09 eV per atom
density = 7.62 Mg/m³
formation energy (no corrections) = -1.40 eV per atom
N(E_F) = 0.357 states/eV per atom
magnetization = 0.0 μB per formula unit

abc: 3.6378 6.2805 6.2937
angles: 109.31 90.00 90.00
Last column: nearest neighbours and their distance in Å.
Element x y z (fractional)
Ce  0.0000  0.0000  0.0000  6 N 2.48-2.51
Pm  0.5000  0.5000  0.0000  6 N 2.55
Pr  0.5000  0.0000  0.5000  6 N 2.59
Pr  0.0000  0.5000  0.5000  6 N 2.64-2.65
N  0.5000  0.2387  0.2348  2 Ce 2.51, 1 Pm 2.55, 3 Pr 2.59-2.64
N  0.5000  0.7613  0.7652  2 Ce 2.51, 1 Pm 2.55, 3 Pr 2.59-2.64
N  0.0000  0.2452  0.7621  1 Ce 2.48, 2 Pm 2.55, 3 Pr 2.59-2.65
N  0.0000  0.7548  0.2379  1 Ce 2.48, 2 Pm 2.55, 3 Pr 2.59-2.65



[5]
First-principles (PBE-GGA) data for a relaxed ScU4 crystal, as listed in the Alexandria database.

Output
raw total energy = -8.62 eV per atom
density = 12.55 Mg/m³
N(E_F) = 4.287 states/eV per atom
magnetization = 9.6 μB per formula unit

abc: 5.0911 5.0911 5.0911
angles: 90.00 90.00 90.00
Last column: nearest neighbours and their distance in Å.
Element x y z (fractional)
Sc  0.5000  0.5000  0.5000  6 U 2.55
U  0.0000  0.0000  0.0000  12 U 3.60
U  0.5000  0.0000  0.5000  2 Sc 2.55
U  0.0000  0.5000  0.5000  2 Sc 2.55
U  0.5000  0.5000  0.0000  2 Sc 2.55



[6]
First-principles (PBE-GGA) data for a relaxed In2GaSb crystal, as listed in the Alexandria database.

Output
raw total energy = -2.88 eV per atom
density = 5.00 Mg/m³
formation energy (no corrections) = 0.28 eV per atom
N(E_F) = 0.588 states/eV per atom
magnetization = 0.0 μB per formula unit

abc: 4.2991 4.2991 9.0761
angles: 76.30 76.30 60.00
Last column: nearest neighbours and their distance in Å.
Element x y z (fractional)
Sb  0.5000  0.5000  0.5000  6 In 2.98
Ga  0.0000  0.0000  0.0000  2 In 2.71
In  0.1036  0.1036  0.6893  1 Ga 2.71, 3 Sb 2.98
In  0.8964  0.8964  0.3107  1 Ga 2.71, 3 Sb 2.98



[7]
First-principles (PBE-GGA) data for a relaxed Rb3HBrF crystal, as listed in the Alexandria database.

Output
raw total energy = -3.14 eV per atom
density = 3.10 Mg/m³
N(E_F) = 0.000 states/eV per atom
magnetization = 0.0 μB per formula unit

abc: 4.5073 7.7335 11.2147
angles: 102.45 90.00 90.00
Last column: nearest neighbours and their distance in Å.
Element x y z (fractional)
Rb  0.2500  0.7880  0.4769  3 F 2.78-2.90
Rb  0.7500  0.0283  0.1576  1 F 2.75
Rb  0.7500  0.5652  0.1613  1 F 2.84, 3 H 3.07-3.12
Rb  0.7500  0.2120  0.5231  3 F 2.78-2.90
Rb  0.2500  0.4348  0.8387  1 F 2.84, 3 H 3.07-3.12
Rb  0.2500  0.9717  0.8424  1 F 2.75
H  0.2500  0.7616  0.0501  6 Rb 3.07-3.12
H  0.7500  0.2384  0.9499  6 Rb 3.07-3.12
Br  0.7500  0.6564  0.6903  7 Rb 3.47-3.59
Br  0.2500  0.3436  0.3097  7 Rb 3.47-3.59
F  0.2500  0.1299  0.6450  5 Rb 2.75-2.90
F  0.7500  0.8701  0.3550  5 Rb 2.75-2.90



[8]
First-principles (PBE-GGA) data for a relaxed CsNb3Ga crystal, as listed in the Alexandria database.

Output
raw total energy = -4.22 eV per atom
density = 6.31 Mg/m³
N(E_F) = 0.864 states/eV per atom
magnetization = 0.0 μB per formula unit

abc: 5.0221 5.0221 5.0221
angles: 90.00 90.00 90.00
Last column: nearest neighbours and their distance in Å.
Element x y z (fractional)
Cs  0.0000  0.0000  0.0000  6 Nb 2.51
Nb  0.0000  0.5000  0.0000  2 Cs 2.51
Nb  0.0000  0.0000  0.5000  2 Cs 2.51
Nb  0.5000  0.0000  0.0000  2 Cs 2.51
Ga  0.5000  0.5000  0.5000  12 Nb 3.55



[9]
First-principles (PBE-GGA) data for a relaxed SnRhSe2 crystal, as listed in the Alexandria database.

Output
raw total energy = -4.71 eV per atom
density = 5.77 Mg/m³
formation energy (no corrections) = -0.13 eV per atom
N(E_F) = 0.827 states/eV per atom
magnetization = 0.0 μB per formula unit

abc: 6.1389 6.1389 7.2411
angles: 64.92 64.92 90.00
Last column: nearest neighbours and their distance in Å.
Element x y z (fractional)
Rh  0.5000  0.5000  0.0000  4 Se 2.42
Rh  0.2500  0.7500  0.5000  4 Se 2.42
Sn  0.0000  0.0000  0.0000  4 Se 2.83
Sn  0.7500  0.2500  0.5000  4 Se 2.83
Se  0.5682  0.1250  0.2500  2 Rh 2.42
Se  0.1818  0.6250  0.2500  2 Rh 2.42
Se  0.3750  0.4318  0.7500  2 Rh 2.42
Se  0.8750  0.8182  0.7500  2 Rh 2.42



[10]
First-principles (PBE-GGA) data for a relaxed BeTcIN2 crystal, as listed in the Alexandria database.

Output
raw total energy = -5.55 eV per atom
density = 5.10 Mg/m³
formation energy (no corrections) = 0.91 eV per atom
N(E_F) = 0.567 states/eV per atom
magnetization = 0.0 μB per formula unit

abc: 3.8351 3.8351 5.7982
angles: 90.00 90.00 90.00
Last column: nearest neighbours and their distance in Å.
Element x y z (fractional)
I  0.0000  0.0000  0.5000  4 Be 2.71, 2 Tc 2.90
Be  0.5000  0.5000  0.5000  4 I 2.71
Tc  0.0000  0.0000  0.0000  4 N 1.92
N  0.0000  0.5000  0.0000  2 Tc 1.92
N  0.5000  0.0000  0.0000  2 Tc 1.92



[11]
First-principles (PBE-GGA) data for a relaxed AcLa2Ag2Ge2 crystal, as listed in the Alexandria database.

Output
raw total energy = -4.60 eV per atom
density = 7.82 Mg/m³
N(E_F) = 0.575 states/eV per atom
magnetization = 0.0 μB per formula unit

abc: 4.6483 4.6483 10.1824
angles: 76.81 76.81 60.00
Last column: nearest neighbours and their distance in Å.
Element x y z (fractional)
Ac  0.0000  0.0000  0.0000  6 Ag 3.44, 6 Ge 3.50
La  0.1335  0.1335  0.5995  3 Ge 3.17, 3 Ag 3.22, 3 La 3.32
La  0.8665  0.8665  0.4005  3 Ge 3.17, 3 Ag 3.22, 3 La 3.32
Ag  0.5934  0.5934  0.2198  3 Ge 2.69
Ag  0.4066  0.4066  0.7802  3 Ge 2.69
Ge  0.7431  0.7431  0.7707  3 Ag 2.69
Ge  0.2569  0.2569  0.2293  3 Ag 2.69



[12]
First-principles (PBE-GGA) data for a relaxed NaH2Rh crystal, as listed in the Alexandria database.

Output
raw total energy = -4.01 eV per atom
density = 5.33 Mg/m³
N(E_F) = 0.368 states/eV per atom
magnetization = 0.0 μB per formula unit

abc: 3.0435 3.0446 5.2643
angles: 90.03 106.76 120.03
Last column: nearest neighbours and their distance in Å.
Element x y z (fractional)
Na  0.0233  0.7529  0.5516  6 H 2.52-2.53
H  0.4461  0.9645  0.1860  3 Rh 1.88
H  0.6001  0.5411  0.9170  3 Rh 1.88
Rh  0.0231  0.2526  0.0516  6 H 1.88